A relaxed Ir2Br crystal, computed with PBE.

Cell lengths 3.8202, 3.8202, 4.7644 Å; angles 90.00, 90.00, 120.00 degrees
Closest atoms and distances in Å follow each position.
Element x y z (fractional)
Ir 0.3333 0.6667 0.1076  3 Ir 2.43
Ir 0.6667 0.3333 0.8924  3 Ir 2.43
Br 0.0000 0.0000 0.5000  6 Ir 2.89

Output
- space group = P-3m1
- ΔE to the lowest computed polymorph (eV/atom) = 0.4551
- formation energy (no corrections) (eV/atom) = 0.81
- total magnetic moment (μB/atom) = 0.000

***

A relaxed BaMnAl3 crystal, computed with PBE.

Cell lengths 4.7781, 4.7781, 4.7781 Å; angles 90.00, 90.00, 90.00 degrees
Closest atoms and distances in Å follow each position.
Element x y z (fractional)
Ba 0.0000 0.0000 0.0000  12 Al 3.38
Mn 0.5000 0.5000 0.5000  6 Al 2.39
Al 0.0000 0.5000 0.5000  2 Mn 2.39
Al 0.5000 0.0000 0.5000  2 Mn 2.39
Al 0.5000 0.5000 0.0000  2 Mn 2.39

Output
- space group = Pm-3m
- ΔE to the lowest computed polymorph (eV/atom) = 0.0000
- total magnetic moment (μB/atom) = 0.000
- DFT formation energy (eV per atom) = -0.1775

***

A relaxed Be4CdAu crystal, computed with PBE.

Cell lengths 4.6162, 4.6162, 4.6162 Å; angles 60.00, 60.00, 60.00 degrees
Closest atoms and distances in Å follow each position.
Element x y z (fractional)
Be 0.3762 0.3762 0.3762  6 Be 2.29-2.33
Be 0.3762 0.3762 0.8715  6 Be 2.29-2.33
Be 0.3762 0.8715 0.3762  6 Be 2.29-2.33
Be 0.8715 0.3762 0.3762  6 Be 2.29-2.33
Cd 0.0000 0.0000 0.0000  12 Be 2.71, 4 Au 2.83
Au 0.7500 0.7500 0.7500  12 Be 2.70, 4 Cd 2.83

Output
- space group = F-43m
- total magnetic moment (μB/atom) = 0.000
- DFT formation energy (eV per atom) = 0.0352

***

A relaxed LiZn2O3 crystal, computed with PBE.

Cell lengths 5.5970, 5.5970, 5.5970 Å; angles 146.69, 59.59, 132.10 degrees
Closest atoms and distances in Å follow each position.
Element x y z (fractional)
Li 0.0000 0.0000 0.0000  4 O 1.99-2.01
Zn 0.3349 0.9984 0.3365  4 O 1.93-1.98
Zn 0.6620 0.9984 0.6635  4 O 1.93-1.98
O 0.2586 0.7586 0.5000  2 Zn 1.93, 2 Li 1.99
O 0.5778 0.7479 0.8299  3 Zn 1.97-1.98, 1 Li 2.01
O 0.9180 0.7479 0.1701  3 Zn 1.97-1.98, 1 Li 2.01

Output
- space group = Imm2
- formation energy (no corrections) (eV/atom) = -1.32
- total magnetic moment (μB/atom) = 0.048

***

A relaxed MgNbAg crystal, computed with PBE.

Cell lengths 2.8575, 4.7650, 8.1550 Å; angles 90.00, 95.78, 90.00 degrees
Closest atoms and distances in Å follow each position.
Element x y z (fractional)
Mg 0.0000 0.0000 0.0000  4 Ag 2.79-3.08, 2 Mg 2.86, 3 Nb 2.92-2.97
Mg 0.1701 0.5000 0.5005  4 Ag 2.79-3.09, 2 Mg 2.86, 3 Nb 2.92-2.97
Nb 0.4523 0.5000 0.1657  4 Nb 2.82-2.86, 3 Mg 2.92-2.97, 2 Ag 3.06-3.14
Nb 0.7194 0.0000 0.3345  4 Nb 2.82-2.86, 3 Mg 2.92-2.97, 2 Ag 3.06-3.15
Ag 0.3524 0.0000 0.6737  4 Mg 2.79-3.08, 4 Ag 2.86-2.95, 1 Nb 3.06
Ag 0.8223 0.5000 0.8265  4 Mg 2.79-3.09, 4 Ag 2.86-2.95, 1 Nb 3.06

Output
- space group = Pm
- ΔE to the lowest computed polymorph (eV/atom) = 0.0272
- total magnetic moment (μB/atom) = 0.000
- DFT formation energy (eV per atom) = 0.0818

***

A relaxed AcErCd crystal, computed with PBE.

Cell lengths 7.0892, 7.0892, 7.0892 Å; angles 148.44, 148.44, 45.23 degrees
Closest atoms and distances in Å follow each position.
Element x y z (fractional)
Ac 0.0000 0.0000 0.0000  4 Cd 3.59, 5 Er 3.75-3.97, 4 Ac 3.86
Er 0.3030 0.3030 0.0000  4 Cd 3.18
Cd 0.6783 0.6783 0.0000  4 Er 3.18

Output
- space group = I4mm
- ΔE to the lowest computed polymorph (eV/atom) = 0.0017
- total magnetic moment (μB/atom) = 0.093
- DFT formation energy (eV per atom) = -0.1569

***

- What is the total magnetic moment in the third record?
  0.000 μB/atom

***

- Which of these has the highest total magnetic moment?
  AcErCd

***

Copy entry 4 word for word.
A relaxed LiZn2O3 crystal, computed with PBE.

Cell lengths 5.5970, 5.5970, 5.5970 Å; angles 146.69, 59.59, 132.10 degrees
Closest atoms and distances in Å follow each position.
Element x y z (fractional)
Li 0.0000 0.0000 0.0000  4 O 1.99-2.01
Zn 0.3349 0.9984 0.3365  4 O 1.93-1.98
Zn 0.6620 0.9984 0.6635  4 O 1.93-1.98
O 0.2586 0.7586 0.5000  2 Zn 1.93, 2 Li 1.99
O 0.5778 0.7479 0.8299  3 Zn 1.97-1.98, 1 Li 2.01
O 0.9180 0.7479 0.1701  3 Zn 1.97-1.98, 1 Li 2.01

Output
- space group = Imm2
- formation energy (no corrections) (eV/atom) = -1.32
- total magnetic moment (μB/atom) = 0.048